GeSbTe2Mo GGA-PBE optimized geometry; total DFT energy (no corrections) = -4.029 eV/atom; space group = P4/mmm; density = 6.0 g/cm3; raw formation energy = 1.14 eV/atom; relative energy among the computed polymorphs = 475.8 meV/atom
1.0
5.332 0.000 0.000
0.000 5.332 0.000
0.000 0.000 5.304
Ge Sb Te Mo
1 1 2 1
direct
0.000 0.000 0.000 Ge
0.000 0.000 0.500 Sb
0.000 0.500 0.000 Te
0.500 0.000 0.000 Te
0.500 0.500 0.500 Mo

---

AcYLuAg GGA-PBE optimized geometry; total DFT energy (no corrections) = -4.292 eV/atom; space group = F-43m; density = 8.3 g/cm3
1.0
0.000 3.913 3.913
3.913 0.000 3.913
3.913 3.913 0.000
Ac Y Lu Ag
1 1 1 1
direct
0.000 0.000 0.000 Ac
0.750 0.750 0.750 Y
0.250 0.250 0.250 Lu
0.500 0.500 0.500 Ag

---

Ho4ErPb5 GGA-PBE optimized geometry; total DFT energy (no corrections) = -4.445 eV/atom; space group = I4; density = 10.1 g/cm3
1.0
-4.954 4.954 3.134
4.954 -4.954 3.134
4.954 4.954 -3.134
Ho Er Pb
4 1 5
direct
0.100 0.300 0.400 Ho
0.300 0.900 0.201 Ho
0.700 0.100 0.799 Ho
0.900 0.700 0.600 Ho
0.503 0.503 0.000 Er
0.003 0.003 0.000 Pb
0.201 0.600 0.801 Pb
0.400 0.201 0.601 Pb
0.600 0.799 0.399 Pb
0.799 0.400 0.199 Pb

---

KRbBa2 GGA-PBE optimized geometry; total DFT energy (no corrections) = -1.347 eV/atom; space group = P4/mmm; density = 2.3 g/cm3; relative energy among the computed polymorphs = 25.3 meV/atom
1.0
4.387 0.000 0.000
0.000 4.387 0.000
0.000 0.000 14.728
K Rb Ba
1 1 2
direct
0.000 0.000 0.000 K
0.000 0.000 0.500 Rb
0.500 0.500 0.242 Ba
0.500 0.500 0.758 Ba

---

MoPRh2 GGA-PBE optimized geometry; total DFT energy (no corrections) = -7.774 eV/atom; space group = P4/mmm; density = 9.8 g/cm3
1.0
3.784 0.000 0.000
0.000 3.784 0.000
0.000 0.000 3.941
Mo P Rh
1 1 2
direct
0.000 0.000 0.000 Mo
0.500 0.500 0.000 P
0.000 0.500 0.500 Rh
0.500 0.000 0.500 Rh

---

Pm2Hg2Au GGA-PBE optimized geometry; total DFT energy (no corrections) = -3.205 eV/atom; space group = C2/m; density = 11.2 g/cm3; relative energy among the computed polymorphs = 0.0 meV/atom
1.0
5.677 -2.034 0.000
5.677 2.034 0.000
-4.214 0.000 11.433
Pm Hg Au
4 4 2
direct
0.009 0.009 0.174 Pm
0.180 0.180 0.614 Pm
0.820 0.820 0.386 Pm
0.991 0.991 0.826 Pm
0.348 0.348 0.958 Hg
0.448 0.448 0.604 Hg
0.552 0.552 0.396 Hg
0.652 0.652 0.042 Hg
0.305 0.305 0.197 Au
0.695 0.695 0.803 Au

---

- Which of these has the lowest density?
  KRbBa2